The following is a DFT calculation (PBE-GGA) of a relaxed RbNi2P crystal.

Computed properties:
Its calculated formation energy is -0.053 eV/atom.

Cell: 5.170 5.170 13.842 Å, 90.00 90.00 90.00°
Space group I4_1/amd (No. 141, origin choice 2)
Symmetry-distinct sites (fractional):
Rb: 0.000 0.250 0.375 x4
Ni: 0.000 0.000 0.000 x8
P: 0.000 0.250 0.875 x4

***

The following is a DFT calculation (PBE-GGA) of a relaxed Rb4Ni2P crystal.

Computed properties:
Its calculated formation energy is 0.645 eV/atom.

Cell: 6.597 6.597 15.599 Å, 90.00 90.00 90.00°
Space group I4/mmm (No. 139)
Symmetry-distinct sites (fractional):
Rb: 0.000 0.000 0.205 x4
Rb: 0.000 0.500 0.000 x4
Ni: 0.000 0.000 0.429 x4
P: 0.000 0.000 0.000 x2

***

Magnetic moment in μB per formula unit, matching the order above: 0.0 3.0